Record 1
A plane-wave DFT calculation with GGA-PBE was carried out for a geometry-optimized LiHIN2 structure.

Lattice parameters (Å, degrees): 3.976 7.978 3.976 90.00 90.00 90.00
Positions (direct):
H (0.500, 0.500, 0.500)
Li (0.000, 0.500, 0.000)
I (0.000, 0.000, 0.000)
N (0.000, 0.000, 0.500)
N (0.500, 0.000, 0.000)

Summary:
- Electronic total energy: -2.878 eV/atom
- Total magnetic moment: 0.0 μB/cell
- Polymorph energy (0 for the lowest one): 6 meV per atom
- D(E_F): 3.65 states/eV/cell
- SG: P4/mmm


Record 2
A plane-wave DFT calculation with GGA-PBE was carried out for a geometry-optimized Ca3BiS structure.

Lattice parameters (Å, degrees): 5.358 5.358 5.358 90.00 90.00 90.00
Positions (direct):
Ca (0.000, 0.500, 0.000)
Ca (0.000, 0.000, 0.500)
Ca (0.500, 0.000, 0.000)
Bi (0.500, 0.500, 0.500)
S (0.000, 0.000, 0.000)

Summary:
- Formation energy (no corrections): -5.53 eV per formula unit
- Electronic total energy: -3.908 eV/atom
- Total magnetic moment: 0.0 μB/cell
- Polymorph energy (0 for the lowest one): 0 meV per atom
- D(E_F): 4.77 states/eV/cell
- SG: Pm-3m


Record 3
A plane-wave DFT calculation with GGA-PBE was carried out for a geometry-optimized AgW3I structure.

Lattice parameters (Å, degrees): 4.863 4.863 4.863 90.00 90.00 90.00
Positions (direct):
I (0.000, 0.000, 0.000)
W (0.000, 0.500, 0.000)
W (0.500, 0.000, 0.000)
W (0.000, 0.000, 0.500)
Ag (0.500, 0.500, 0.500)

Summary:
- Formation energy (no corrections): 13.99 eV per formula unit
- Electronic total energy: -5.855 eV/atom
- Total magnetic moment: 0.0 μB/cell
- Polymorph energy (0 for the lowest one): 0 meV per atom
- D(E_F): 3.71 states/eV/cell
- SG: Pm-3m


Record 4
A plane-wave DFT calculation with GGA-PBE was carried out for a geometry-optimized Sr2RuO5 structure.

Lattice parameters (Å, degrees): 5.502 7.242 11.088 90.00 90.00 90.00
Positions (direct):
O (0.499, 0.339, 0.112)
O (0.001, 0.839, 0.388)
O (0.250, 0.782, 0.605)
O (0.750, 0.718, 0.105)
O (0.499, 0.839, 0.388)
O (0.750, 0.459, 0.706)
O (0.999, 0.661, 0.888)
O (0.750, 0.959, 0.794)
O (0.750, 0.218, 0.395)
O (0.000, 0.500, 0.500)
O (0.250, 0.282, 0.895)
O (0.999, 0.161, 0.612)
O (0.501, 0.161, 0.612)
O (0.500, 0.000, 0.000)
O (0.501, 0.661, 0.888)
O (0.500, 0.500, 0.500)
O (0.001, 0.339, 0.112)
O (0.250, 0.041, 0.206)
O (0.250, 0.541, 0.294)
O (0.000, 0.000, 0.000)
Sr (0.750, 0.021, 0.212)
Sr (0.750, 0.824, 0.583)
Sr (0.750, 0.521, 0.288)
Sr (0.750, 0.324, 0.917)
Sr (0.250, 0.979, 0.788)
Sr (0.250, 0.479, 0.712)
Sr (0.250, 0.676, 0.083)
Sr (0.250, 0.176, 0.417)
Ru (0.250, 0.682, 0.438)
Ru (0.250, 0.182, 0.062)
Ru (0.750, 0.818, 0.938)
Ru (0.750, 0.318, 0.562)

Summary:
- Formation energy (no corrections): -15.32 eV per formula unit
- Electronic total energy: -6.594 eV/atom
- Total magnetic moment: 7.2 μB/cell
- Polymorph energy (0 for the lowest one): 0 meV per atom
- D(E_F): 21.39 states/eV/cell
- SG: Pnma


Question: What is the electronic total energy in the fourth record?
Answer: -6.594 eV/atom


Question: Among the records above, which one has the highest polymorph energy (0 for the lowest one)?
Answer: LiHIN2